The following is a PBE calculation of crystalline Mg6InAg at its relaxed geometry, from the Alexandria database.

Results
The value obtained for the formation enthalpy at 0 K is -0.094 eV per atom. The energy above the most stable polymorph in this dataset comes out at 0.000 eV/atom. The calculation puts the total energy at -15.91 eV/cell. For the total magnetic moment, the calculation gives 0.000 Bohr magnetons per cell.

a b c (Å): 6.1957 6.1957 5.1576
angles (deg): 90.00 90.00 120.00
Space group P-6m2 (No. 187)
Symmetry-distinct sites (fractional):
Mg1 0.1671 0.3342 0.0000 x3
Mg2 0.5036 0.0072 0.5000 x3
In1 0.0000 0.0000 0.5000 x1
Ag1 0.6667 0.3333 0.0000 x1